4
Lattice="1.9093 -2.3781 0.0000 1.9093 2.3781 0.0000 0.0000 0.0000 9.1787" Properties=species:S:1:pos:R:3 comment="TaIn2As PBE-GGA relaxed" spacegroup="No. 65" pbc="T T T"
Ta 0.0000 0.0000 0.0000
In 1.9093 0.0000 2.2288
In 1.9093 0.0000 6.9500
As 0.0000 0.0000 4.5894

12
Lattice="3.9305 0.0000 0.0000 0.0000 3.9305 0.0000 0.0000 0.0000 11.7562" Properties=species:S:1:pos:R:3 comment="Cu2Pt9W PBE-GGA relaxed" spacegroup="No. 123" pbc="T T T"
Cu 0.0000 0.0000 1.9056
Cu 0.0000 0.0000 9.8507
Pt 0.0000 1.9653 0.0000
Pt 0.0000 1.9653 3.9324
Pt 0.0000 1.9653 7.8238
Pt 1.9653 0.0000 0.0000
Pt 1.9653 0.0000 3.9324
Pt 1.9653 0.0000 7.8238
Pt 1.9653 1.9653 1.9569
Pt 1.9653 1.9653 5.8781
Pt 1.9653 1.9653 9.7993
W 0.0000 0.0000 5.8781

5
Lattice="4.3506 0.0000 0.0000 0.0000 4.3506 0.0000 0.0000 0.0000 4.7547" Properties=species:S:1:pos:R:3 comment="Zr2TaAlF PBE-GGA relaxed" e_form_raw_mev_per_atom=-558 spacegroup="No. 123" pbc="T T T"
Zr 0.0000 2.1753 0.0000
Zr 2.1753 0.0000 0.0000
Ta 0.0000 0.0000 2.3773
Al 2.1753 2.1753 2.3773
F 2.1753 2.1753 0.0000

28
Lattice="8.1371 0.0000 0.0000 -4.0685 7.0469 0.0000 0.0000 0.0000 21.4154" Properties=species:S:1:pos:R:3 comment="Cs3Pr2Br9 PBE-GGA relaxed" e_form_raw_mev_per_atom=-1865 spacegroup="No. 194" pbc="T T T"
Cs 0.0000 0.0000 5.3539
Cs 0.0000 0.0000 16.0616
Cs 0.0000 4.6980 1.3502
Cs 0.0000 4.6980 9.3575
Cs 4.0686 2.3490 12.0579
Cs 4.0686 2.3490 20.0652
Pr 0.0000 4.6980 14.0173
Pr 0.0000 4.6980 18.1058
Pr 4.0686 2.3490 3.3096
Pr 4.0686 2.3490 7.3981
Br -1.9547 3.5694 16.0616
Br 0.0000 2.2967 12.5361
Br 0.0000 2.2967 19.5870
Br -2.0796 5.8986 12.5361
Br -2.0796 5.8986 19.5870
Br 1.9890 1.1483 1.8284
Br 1.9890 1.1483 8.8793
Br 1.9547 3.5694 16.0616
Br 0.0000 6.9550 16.0616
Br 4.0685 0.0919 5.3539
Br 2.1139 3.4775 5.3539
Br 2.0796 5.8986 12.5361
Br 2.0796 5.8986 19.5870
Br 6.1481 1.1483 1.8284
Br 6.1481 1.1483 8.8793
Br 4.0685 4.7502 1.8284
Br 4.0685 4.7502 8.8793
Br 6.0232 3.4775 5.3539

4
Lattice="0.0000 3.3705 3.3705 3.3705 0.0000 3.3705 3.3705 3.3705 0.0000" Properties=species:S:1:pos:R:3 comment="TbScMnRu PBE-GGA relaxed" spacegroup="No. 216" pbc="T T T"
Tb 0.0000 0.0000 0.0000
Sc 3.3705 3.3705 3.3705
Mn 5.0558 5.0558 5.0558
Ru 1.6853 1.6853 1.6853

4
Lattice="-1.5220 1.9706 6.4504 1.5220 -1.9706 6.4504 1.5220 1.9706 -6.4504" Properties=species:S:1:pos:R:3 comment="LaMn2W PBE-GGA relaxed" relative_energy_mev_per_atom=315.6 spacegroup="No. 44" pbc="T T T"
La 0.0000 0.0000 0.0000
Mn 0.0000 0.0000 8.3026
Mn 0.0000 1.9706 3.6861
W 1.5220 0.0000 3.5900

Number 1: VASP energy -5.17 eV per atom. Number 2: VASP energy -6.48 eV per atom. Number 3: VASP energy -7.47 eV per atom. Number 4: VASP energy -3.81 eV per atom. Number 5: VASP energy -7.47 eV per atom. Number 6: VASP energy -8.45 eV per atom.